Record 1
The following is a DFT calculation (PBE-GGA) of a relaxed LaCoP2 crystal.

## Properties
Total magnetization, μB per cell: 1.0
Relative energy among the computed polymorphs, eV/f.u.: 0.00
E_form, eV per formula unit: -3.68

Cell and atoms, written as CIF:
```
data_LaCoP2
_chemical_formula_sum 'La2 Co2 P4'
_space_group_name_H-M_alt 'I -4 m 2'
_space_group_IT_number 119
_space_group_name_Hall 'I -4 -2'
_cell_length_a 4.004
_cell_length_b 4.004
_cell_length_c 9.156
_cell_angle_alpha 90.00
_cell_angle_beta 90.00
_cell_angle_gamma 90.00
loop_
_atom_site_label
_atom_site_fract_x
_atom_site_fract_y
_atom_site_fract_z
_atom_site_occupancy
La1 0.000 0.000 0.000 1
Co1 0.000 0.500 0.750 1
P1 0.000 0.000 0.366 1
```


Record 2
The following is a DFT calculation (PBE-GGA) of a relaxed CsPtI crystal.

## Properties
Total magnetization, μB per cell: 0.0
Relative energy among the computed polymorphs, eV/f.u.: 0.15

Cell and atoms, written as CIF:
```
data_CsPtI
_chemical_formula_sum 'Cs4 Pt4 I4'
_space_group_name_H-M_alt 'C 1 2 1'
_space_group_IT_number 5
_space_group_name_Hall 'C 2y'
_cell_length_a 10.849
_cell_length_b 9.387
_cell_length_c 4.919
_cell_angle_alpha 90.00
_cell_angle_beta 90.01
_cell_angle_gamma 90.00
loop_
_atom_site_label
_atom_site_fract_x
_atom_site_fract_y
_atom_site_fract_z
_atom_site_occupancy
Cs1 0.243 0.000 0.001 1
Pt1 0.000 0.773 0.000 1
Pt2 0.000 0.918 0.500 1
I1 0.000 0.197 0.500 1
I2 0.000 0.647 0.500 1
```


Record 3
The following is a DFT calculation (PBE-GGA) of a relaxed BaH12Pd6 crystal.

## Properties
Raw total energy, Ha/atom: -0.14429
Total magnetization, μB per cell: 0.0

Cell and atoms, written as CIF:
```
data_BaH12Pd6
_chemical_formula_sum 'Ba3 H36 Pd18'
_space_group_name_H-M_alt 'R -3 m'
_space_group_IT_number 166
_space_group_name_Hall '-R 3 2"'
_cell_length_a 9.6246
_cell_length_b 9.6246
_cell_length_c 6.7422
_cell_angle_alpha 90.00
_cell_angle_beta 90.00
_cell_angle_gamma 120.00
loop_
_atom_site_label
_atom_site_fract_x
_atom_site_fract_y
_atom_site_fract_z
_atom_site_occupancy
Ba1 0.0000 0.0000 0.0000 1
H1 0.0000 0.3887 0.5000 1
H2 0.0908 0.1815 0.3862 1
Pd1 0.0755 0.5377 0.3075 1
```


Record 4
The following is a DFT calculation (PBE-GGA) of a relaxed Mn2CrTc crystal.

## Properties
Total magnetization, μB per cell: 6.0
Relative energy among the computed polymorphs, eV/f.u.: 0.10
E_form, eV per formula unit: 0.44

Cell and atoms, written as CIF:
```
data_Mn2CrTc
_chemical_formula_sum 'Mn4 Cr2 Tc2'
_space_group_name_H-M_alt 'I m m 2'
_space_group_IT_number 44
_space_group_name_Hall 'I 2 -2'
_cell_length_a 2.962
_cell_length_b 4.143
_cell_length_c 8.205
_cell_angle_alpha 90.00
_cell_angle_beta 90.00
_cell_angle_gamma 90.00
loop_
_atom_site_label
_atom_site_fract_x
_atom_site_fract_y
_atom_site_fract_z
_atom_site_occupancy
Mn1 0.000 0.000 0.000 1
Mn2 0.000 0.500 0.243 1
Cr1 0.000 0.000 0.505 1
Tc1 0.000 0.500 0.758 1
```


Record 5
The following is a DFT calculation (PBE-GGA) of a relaxed PrGa3Rh2 crystal.

## Properties
Total magnetization, μB per cell: 0.0
E_form, eV per formula unit: -4.48

Cell and atoms, written as CIF:
```
data_PrGa3Rh2
_chemical_formula_sum 'Pr4 Ga12 Rh8'
_space_group_name_H-M_alt 'C m c m'
_space_group_IT_number 63
_space_group_name_Hall '-C 2c 2'
_cell_length_a 9.674
_cell_length_b 7.953
_cell_length_c 5.708
_cell_angle_alpha 90.00
_cell_angle_beta 90.00
_cell_angle_gamma 90.00
loop_
_atom_site_label
_atom_site_fract_x
_atom_site_fract_y
_atom_site_fract_z
_atom_site_occupancy
Pr1 0.000 0.149 0.250 1
Ga1 0.000 0.465 0.750 1
Ga2 0.173 0.218 0.750 1
Rh1 0.214 0.500 0.000 1
```


Record 6
The following is a DFT calculation (PBE-GGA) of a relaxed Sr3PbI6Cl2 crystal.

## Properties
Raw total energy, Ha/atom: -0.12514
Total magnetization, μB per cell: 0.0

Cell and atoms, written as CIF:
```
data_Sr3PbI6Cl2
_chemical_formula_sum 'Sr6 Pb2 I12 Cl4'
_space_group_name_H-M_alt 'C 1 2/m 1'
_space_group_IT_number 12
_space_group_name_Hall '-C 2y'
_cell_length_a 15.873
_cell_length_b 9.244
_cell_length_c 7.232
_cell_angle_alpha 90.00
_cell_angle_beta 100.69
_cell_angle_gamma 90.00
loop_
_atom_site_label
_atom_site_fract_x
_atom_site_fract_y
_atom_site_fract_z
_atom_site_occupancy
Sr1 0.000 0.000 0.000 1
Sr2 0.250 0.250 0.500 1
Pb1 0.000 0.500 0.500 1
I1 0.099 0.242 0.763 1
I2 0.143 0.500 0.239 1
Cl1 0.161 0.000 0.287 1
```


Record 7
The following is a DFT calculation (PBE-GGA) of a relaxed RbZrTl crystal.

## Properties
Total magnetization, μB per cell: 1.7
Relative energy among the computed polymorphs, eV/f.u.: 1.10
E_form, eV per formula unit: 1.29

Cell and atoms, written as CIF:
```
data_RbZrTl
_chemical_formula_sum 'Rb4 Zr4 Tl4'
_space_group_name_H-M_alt 'P n m a'
_space_group_IT_number 62
_space_group_name_Hall '-P 2ac 2n'
_cell_length_a 9.252
_cell_length_b 4.926
_cell_length_c 8.981
_cell_angle_alpha 90.00
_cell_angle_beta 90.00
_cell_angle_gamma 90.00
loop_
_atom_site_label
_atom_site_fract_x
_atom_site_fract_y
_atom_site_fract_z
_atom_site_occupancy
Rb1 0.000 0.250 0.138 1
Zr1 0.097 0.250 0.549 1
Tl1 0.202 0.750 0.340 1
```


Record 8
The following is a DFT calculation (PBE-GGA) of a relaxed Y2Ho2Mg crystal.

## Properties
Total magnetization, μB per cell: 0.0
Relative energy among the computed polymorphs, eV/f.u.: 1.12
E_form, eV per formula unit: 1.02

Cell and atoms, written as CIF:
```
data_Y2Ho2Mg
_chemical_formula_sum 'Y8 Ho8 Mg4'
_space_group_name_H-M_alt 'I 41/a m d'
_space_group_IT_number 141
_cell_length_a 5.116
_cell_length_b 5.116
_cell_length_c 24.973
_cell_angle_alpha 90.00
_cell_angle_beta 90.00
_cell_angle_gamma 90.00
loop_
_space_group_symop_operation_xyz
'x,y,z'
'-x,-y,-z'
'-y+1/4,x+3/4,z+1/4'
'y+1/4,-x+3/4,-z+1/4'
'-x+1/2,-y,z+1/2'
'x+1/2,y,-z+1/2'
'y+1/4,-x+1/4,z+3/4'
'-y+1/4,x+1/4,-z+3/4'
'x,-y,-z'
'-x,y,z'
'-y+1/4,-x+1/4,-z+3/4'
'y+1/4,x+1/4,z+3/4'
'-x+1/2,y,-z+1/2'
'x+1/2,-y,z+1/2'
'y+1/4,x+3/4,-z+1/4'
'-y+1/4,-x+3/4,z+1/4'
'x+1/2,y+1/2,z+1/2'
'-x+1/2,-y+1/2,-z+1/2'
'-y+3/4,x+1/4,z+3/4'
'y+3/4,-x+1/4,-z+3/4'
'-x,-y+1/2,z'
'x,y+1/2,-z'
'y+3/4,-x+3/4,z+1/4'
'-y+3/4,x+3/4,-z+1/4'
'x+1/2,-y+1/2,-z+1/2'
'-x+1/2,y+1/2,z+1/2'
'-y+3/4,-x+3/4,-z+1/4'
'y+3/4,x+3/4,z+1/4'
'-x,y+1/2,-z'
'x,-y+1/2,z'
'y+3/4,x+1/4,-z+3/4'
'-y+3/4,-x+1/4,z+3/4'
loop_
_atom_site_label
_atom_site_fract_x
_atom_site_fract_y
_atom_site_fract_z
_atom_site_occupancy
Y1 0.000 0.250 0.047 1
Ho1 0.000 0.250 0.200 1
Mg1 0.000 0.250 0.875 1
```


Record 9
The following is a DFT calculation (PBE-GGA) of a relaxed RbCdPCl2 crystal.

## Properties
Total magnetization, μB per cell: 2.0
Relative energy among the computed polymorphs, eV/f.u.: 0.00

Cell and atoms, written as CIF:
```
data_RbCdPCl2
_chemical_formula_sum 'Rb1 Cd1 P1 Cl2'
_space_group_name_H-M_alt 'P 4/m m m'
_space_group_IT_number 123
_space_group_name_Hall '-P 4 2'
_cell_length_a 5.606
_cell_length_b 5.606
_cell_length_c 5.081
_cell_angle_alpha 90.00
_cell_angle_beta 90.00
_cell_angle_gamma 90.00
loop_
_atom_site_label
_atom_site_fract_x
_atom_site_fract_y
_atom_site_fract_z
_atom_site_occupancy
Rb1 0.000 0.000 0.000 1
Cd1 0.500 0.500 0.500 1
P1 0.500 0.500 0.000 1
Cl1 0.000 0.500 0.500 1
```


Record 10
The following is a DFT calculation (PBE-GGA) of a relaxed BeSnBO2 crystal.

## Properties
Raw total energy, Ha/atom: -0.17673
Total magnetization, μB per cell: 0.0

Cell and atoms, written as CIF:
```
data_BeSnBO2
_chemical_formula_sum 'Be1 Sn1 B1 O2'
_space_group_name_H-M_alt 'P 4/m m m'
_space_group_IT_number 123
_space_group_name_Hall '-P 4 2'
_cell_length_a 3.351
_cell_length_b 3.351
_cell_length_c 5.568
_cell_angle_alpha 90.00
_cell_angle_beta 90.00
_cell_angle_gamma 90.00
loop_
_atom_site_label
_atom_site_fract_x
_atom_site_fract_y
_atom_site_fract_z
_atom_site_occupancy
Be1 0.000 0.000 0.000 1
Sn1 0.000 0.000 0.500 1
B1 0.500 0.500 0.500 1
O1 0.000 0.500 0.000 1
```


Record 11
The following is a DFT calculation (PBE-GGA) of a relaxed InRu2Se crystal.

## Properties
Total magnetization, μB per cell: 0.0
Relative energy among the computed polymorphs, eV/f.u.: 0.44

Cell and atoms, written as CIF:
```
data_InRu2Se
_chemical_formula_sum 'In1 Ru2 Se1'
_space_group_name_H-M_alt 'P m m m'
_space_group_IT_number 47
_space_group_name_Hall '-P 2 2'
_cell_length_a 3.188
_cell_length_b 3.763
_cell_length_c 5.859
_cell_angle_alpha 90.00
_cell_angle_beta 90.00
_cell_angle_gamma 90.00
loop_
_atom_site_label
_atom_site_fract_x
_atom_site_fract_y
_atom_site_fract_z
_atom_site_occupancy
In1 0.000 0.000 0.000 1
Ru1 0.500 0.500 0.245 1
Se1 0.500 0.000 0.500 1
```


Record 12
The following is a DFT calculation (PBE-GGA) of a relaxed BeIr2W crystal.

## Properties
Total magnetization, μB per cell: 0.0
E_form, eV per formula unit: -0.04

Cell and atoms, written as CIF:
```
data_BeIr2W
_chemical_formula_sum 'Be2 Ir4 W2'
_space_group_name_H-M_alt 'C m m m'
_space_group_IT_number 65
_space_group_name_Hall '-C 2 2'
_cell_length_a 2.933
_cell_length_b 4.608
_cell_length_c 8.138
_cell_angle_alpha 90.00
_cell_angle_beta 90.00
_cell_angle_gamma 90.00
loop_
_atom_site_label
_atom_site_fract_x
_atom_site_fract_y
_atom_site_fract_z
_atom_site_occupancy
Be1 0.000 0.000 0.000 1
Ir1 0.000 0.500 0.220 1
W1 0.000 0.000 0.500 1
```


We obtain theoretical density values of 5.88 6.03 7.26 8.57 8.41 4.15 6.18 5.41 3.12 4.53 9.35 17.43 g cm⁻³ for the records listed above, in that order.
We obtain N(E_F) values of 2.219 0.000 2.750 4.497 3.116 0.000 3.073 9.060 0.239 2.893 3.563 1.283 states/eV/f.u. for the records listed above, in that order.